Material: LaPrHgIr
Method: DFT, PBE
State: optimized geometry

- energy of formation (meV/atom) = -588
- mass density (g/cm³) = 9.20
- distance to the lowest polymorph of the same formula (eV/atom) = 0.000
- SG = P3m1 (156)

```
4
Lattice="4.2629 0.0000 0.0000 -2.1315 3.6918 0.0000 0.0000 0.0000 7.7171" Properties=species:S:1:pos:R:3 pbc="T T T"
La 0.0000 0.0000 0.0000
Pr 0.0000 2.4612 4.6687
Hg 2.1315 1.2306 2.3803
Ir 2.1315 1.2306 6.2173
```